Record 1
# K4Cd5Ag PBE relaxed
# Energy (eV/atom): -1.15
# Formation enthalpy at 0 K (meV/atom): 32
data_K4Cd5Ag
_symmetry_space_group_name_H-M 'P m m n'
_symmetry_Int_Tables_number 59
_cell_length_a 7.5082
_cell_length_b 7.6122
_cell_length_c 12.4121
_cell_angle_alpha 90.00
_cell_angle_beta 90.00
_cell_angle_gamma 90.00
loop_
_symmetry_equiv_pos_as_xyz
'x,y,z'
'-x,-y,-z'
'-x+1/2,-y+1/2,z'
'x+1/2,y+1/2,-z'
'x+1/2,-y,-z'
'-x+1/2,y,z'
'-x,y+1/2,-z'
'x,-y+1/2,z'
loop_
_atom_site_label
_atom_site_fract_x
_atom_site_fract_y
_atom_site_fract_z
K1 0.0086 0.2500 0.0155
K2 0.2500 0.0083 0.5089
Cd1 0.0282 0.5564 0.2500
Cd2 0.2500 0.7500 0.7476
Ag1 0.2500 0.2500 0.2618

Record 2
# K3CdAg PBE relaxed
# Energy (eV/atom): -1.38
# Energy above the lowest structure with this stoichiometry (eV/atom): 0.038
# Formation enthalpy at 0 K (meV/atom): 29
data_K3CdAg
_symmetry_space_group_name_H-M 'C 1 2/m 1'
_symmetry_Int_Tables_number 12
_cell_length_a 12.9473
_cell_length_b 10.6315
_cell_length_c 8.5700
_cell_angle_alpha 90.00
_cell_angle_beta 130.70
_cell_angle_gamma 90.00
loop_
_symmetry_equiv_pos_as_xyz
'x,y,z'
'-x,-y,-z'
'-x,y,-z'
'x,-y,z'
'x+1/2,y+1/2,z'
'-x+1/2,-y+1/2,-z'
'-x+1/2,y+1/2,-z'
'x+1/2,-y+1/2,z'
loop_
_atom_site_label
_atom_site_fract_x
_atom_site_fract_y
_atom_site_fract_z
K1 0.0574 0.0000 0.2797
K2 0.2126 0.3082 0.1791
Cd1 0.0682 0.5000 0.3908
Ag1 0.2193 0.5000 0.8346

Record 3
# K4CdAg PBE relaxed
# Energy (eV/atom): -1.05
# Energy above the lowest structure with this stoichiometry (eV/atom): 0.281
# Formation enthalpy at 0 K (meV/atom): 309
data_K4CdAg
_symmetry_space_group_name_H-M 'F -4 3 m'
_symmetry_Int_Tables_number 216
_symmetry_space_group_name_Hall 'F -4 2 3'
_cell_length_a 10.7304
_cell_length_b 10.7304
_cell_length_c 10.7304
_cell_angle_alpha 90.00
_cell_angle_beta 90.00
_cell_angle_gamma 90.00
loop_
_atom_site_label
_atom_site_fract_x
_atom_site_fract_y
_atom_site_fract_z
K1 0.1245 0.1245 0.1245
Cd1 0.0000 0.0000 0.5000
Ag1 0.2500 0.2500 0.7500

Record 4
# K2Cd15Ag2 PBE relaxed
# Energy (eV/atom): -1.17
# Formation enthalpy at 0 K (meV/atom): -36
data_K2Cd15Ag2
_symmetry_space_group_name_H-M 'R -3 m'
_symmetry_Int_Tables_number 166
_symmetry_space_group_name_Hall '-R 3 2"'
_cell_length_a 10.3142
_cell_length_b 10.3142
_cell_length_c 15.1567
_cell_angle_alpha 90.00
_cell_angle_beta 90.00
_cell_angle_gamma 120.00
loop_
_atom_site_label
_atom_site_fract_x
_atom_site_fract_y
_atom_site_fract_z
K1 0.0000 0.0000 0.1613
Cd1 0.0000 0.2906 0.5000
Cd2 0.0000 0.5000 0.0000
Cd3 0.0013 0.5006 0.6481
Ag1 0.0000 0.0000 0.4013

- Which value of formation enthalpy at 0 K does entry 4 give?
  -36 meV/atom